Density functional theory data (PBE) for a relaxed structure of RbHgCl.

Polymorph energy (0 for the lowest one), meV/atom: 112.8
Space group: F-43m (216)
Calculated density, g/cm³: 4.252
E_tot, eV/cell: -6.5

abc: 5.620 5.620 5.620
angles: 60.00 60.00 60.00
Element x y z (fractional)
Rb 0.000 0.000 0.000
Hg 0.500 0.500 0.500
Cl 0.750 0.750 0.750

---

Density functional theory data (PBE) for a relaxed structure of Rb2HgCl4.

Space group: P2_1/m (11)
Calculated density, g/cm³: 3.369
E_tot, eV/cell: -38.7

abc: 7.718 7.467 9.246
angles: 90.00 108.25 90.00
Element x y z (fractional)
Rb 0.212 0.250 0.055
Rb 0.259 0.250 0.562
Rb 0.741 0.750 0.438
Rb 0.788 0.750 0.945
Hg 0.245 0.750 0.805
Hg 0.755 0.250 0.195
Cl 0.009 0.004 0.743
Cl 0.009 0.496 0.743
Cl 0.430 0.750 0.083
Cl 0.434 0.750 0.627
Cl 0.566 0.250 0.373
Cl 0.570 0.250 0.917
Cl 0.991 0.504 0.257
Cl 0.991 0.996 0.257

---

Density functional theory data (PBE) for a relaxed structure of Rb3HgCl.

Polymorph energy (0 for the lowest one), meV/atom: 0.0
Space group: Pm-3m (221)
Calculated density, g/cm³: 3.042
E_tot, eV/cell: -8.8

abc: 6.454 6.454 6.454
angles: 90.00 90.00 90.00
Element x y z (fractional)
Rb 0.000 0.000 0.500
Rb 0.000 0.500 0.000
Rb 0.500 0.000 0.000
Hg 0.500 0.500 0.500
Cl 0.000 0.000 0.000

---

Density functional theory data (PBE) for a relaxed structure of RbHg3Cl.

Polymorph energy (0 for the lowest one), meV/atom: 0.0
Space group: Pm-3m (221)
Calculated density, g/cm³: 4.588
E_tot, eV/cell: -5.2

abc: 6.395 6.395 6.395
angles: 90.00 90.00 90.00
Element x y z (fractional)
Rb 0.000 0.000 0.000
Hg 0.000 0.500 0.500
Hg 0.500 0.000 0.500
Hg 0.500 0.500 0.000
Cl 0.500 0.500 0.500

---

Density functional theory data (PBE) for a relaxed structure of RbHg2Cl.

Polymorph energy (0 for the lowest one), meV/atom: 0.0
Space group: I-42d (122)
Calculated density, g/cm³: 5.453
E_tot, eV/cell: -12.8

abc: 7.749 7.749 7.749
angles: 99.74 99.74 131.43
Element x y z (fractional)
Rb 0.000 0.000 0.000
Rb 0.750 0.250 0.500
Hg 0.154 0.625 0.029
Hg 0.375 0.404 0.529
Hg 0.596 0.125 0.971
Hg 0.875 0.846 0.471
Cl 0.250 0.750 0.500
Cl 0.500 0.500 0.000

---

Density functional theory data (PBE) for a relaxed structure of Rb5Hg3Cl12.

Space group: Ia-3d (230)
Calculated density, g/cm³: 3.078
E_tot, eV/cell: -208.2

abc: 15.976 15.976 15.976
angles: 109.47 109.47 109.47
Element x y z (fractional)
Rb 0.000 0.000 0.000
Rb 0.000 0.000 0.500
Rb 0.000 0.500 0.000
Rb 0.000 0.500 0.500
Rb 0.125 0.750 0.875
Rb 0.125 0.875 0.250
Rb 0.250 0.125 0.875
Rb 0.250 0.625 0.375
Rb 0.375 0.250 0.625
Rb 0.375 0.625 0.750
Rb 0.500 0.000 0.000
Rb 0.500 0.000 0.500
Rb 0.500 0.500 0.000
Rb 0.500 0.500 0.500
Rb 0.625 0.375 0.250
Rb 0.625 0.750 0.375
Rb 0.750 0.375 0.625
Rb 0.750 0.875 0.125
Rb 0.875 0.125 0.750
Rb 0.875 0.250 0.125
Hg 0.125 0.250 0.375
Hg 0.125 0.375 0.750
Hg 0.250 0.375 0.125
Hg 0.250 0.875 0.625
Hg 0.375 0.125 0.250
Hg 0.375 0.750 0.125
Hg 0.625 0.250 0.875
Hg 0.625 0.875 0.750
Hg 0.750 0.125 0.375
Hg 0.750 0.625 0.875
Hg 0.875 0.625 0.250
Hg 0.875 0.750 0.625
Cl 0.022 0.636 0.217
Cl 0.022 0.886 0.805
Cl 0.081 0.195 0.717
Cl 0.081 0.386 0.364
Cl 0.114 0.195 0.978
Cl 0.114 0.419 0.136
Cl 0.136 0.114 0.419
Cl 0.136 0.522 0.717
Cl 0.195 0.717 0.081
Cl 0.195 0.978 0.114
Cl 0.217 0.022 0.636
Cl 0.217 0.695 0.581
Cl 0.283 0.864 0.478
Cl 0.283 0.919 0.805
Cl 0.305 0.386 0.522
Cl 0.305 0.419 0.783
Cl 0.364 0.081 0.386
Cl 0.364 0.783 0.978
Cl 0.386 0.364 0.081
Cl 0.386 0.522 0.305
Cl 0.419 0.136 0.114
Cl 0.419 0.783 0.305
Cl 0.478 0.283 0.864
Cl 0.478 0.695 0.614
Cl 0.522 0.305 0.386
Cl 0.522 0.717 0.136
Cl 0.581 0.217 0.695
Cl 0.581 0.864 0.886
Cl 0.614 0.478 0.695
Cl 0.614 0.636 0.919
Cl 0.636 0.217 0.022
Cl 0.636 0.919 0.614
Cl 0.695 0.581 0.217
Cl 0.695 0.614 0.478
Cl 0.717 0.081 0.195
Cl 0.717 0.136 0.522
Cl 0.783 0.305 0.419
Cl 0.783 0.978 0.364
Cl 0.805 0.022 0.886
Cl 0.805 0.283 0.919
Cl 0.864 0.478 0.283
Cl 0.864 0.886 0.581
Cl 0.886 0.581 0.864
Cl 0.886 0.805 0.022
Cl 0.919 0.614 0.636
Cl 0.919 0.805 0.283
Cl 0.978 0.114 0.195
Cl 0.978 0.364 0.783

---

Density functional theory data (PBE) for a relaxed structure of RbHgCl.

Polymorph energy (0 for the lowest one), meV/atom: 103.4
Space group: P3m1 (156)
Calculated density, g/cm³: 4.005
E_tot, eV/cell: -6.5

abc: 5.125 5.125 5.861
angles: 90.00 90.00 120.00
Element x y z (fractional)
Rb 0.000 0.000 0.000
Hg 0.667 0.333 0.446
Cl 0.333 0.667 0.805

---

Density functional theory data (PBE) for a relaxed structure of RbHgCl3.

Space group: Cmce (64)
Calculated density, g/cm³: 3.861
E_tot, eV/cell: -49.6

abc: 9.289 9.289 7.961
angles: 90.00 90.00 100.59
Element x y z (fractional)
Rb 0.128 0.872 0.792
Rb 0.372 0.628 0.292
Rb 0.628 0.372 0.708
Rb 0.872 0.128 0.208
Hg 0.126 0.374 0.750
Hg 0.374 0.126 0.250
Hg 0.626 0.874 0.750
Hg 0.874 0.626 0.250
Cl 0.108 0.358 0.453
Cl 0.123 0.877 0.214
Cl 0.142 0.392 0.047
Cl 0.358 0.108 0.547
Cl 0.377 0.623 0.714
Cl 0.392 0.142 0.953
Cl 0.608 0.858 0.047
Cl 0.623 0.377 0.286
Cl 0.642 0.892 0.453
Cl 0.858 0.608 0.953
Cl 0.877 0.123 0.786
Cl 0.892 0.642 0.547

---

Density functional theory data (PBE) for a relaxed structure of Rb8Hg2Cl.

Space group: C2/m (12)
Calculated density, g/cm³: 2.684
E_tot, eV/cell: -14.6

abc: 12.892 12.892 10.736
angles: 90.08 90.08 22.86
Element x y z (fractional)
Rb 0.004 0.004 0.202
Rb 0.228 0.228 0.682
Rb 0.360 0.360 0.978
Rb 0.401 0.401 0.501
Rb 0.599 0.599 0.499
Rb 0.640 0.640 0.022
Rb 0.772 0.772 0.318
Rb 0.996 0.996 0.798
Hg 0.163 0.163 0.293
Hg 0.837 0.837 0.707
Cl 0.500 0.500 0.000

---

Density functional theory data (PBE) for a relaxed structure of RbHg6Cl12.

Polymorph energy (0 for the lowest one), meV/atom: 71.2
Space group: R-3m (166)
Calculated density, g/cm³: 4.099
E_tot, eV/cell: -36.2

abc: 10.674 10.674 10.674
angles: 114.77 114.77 114.77
Element x y z (fractional)
Rb 0.000 0.000 0.000
Hg 0.265 0.265 0.730
Hg 0.265 0.730 0.265
Hg 0.270 0.735 0.735
Hg 0.730 0.265 0.265
Hg 0.735 0.270 0.735
Hg 0.735 0.735 0.270
Cl 0.096 0.500 0.904
Cl 0.096 0.904 0.500
Cl 0.097 0.416 0.416
Cl 0.416 0.097 0.416
Cl 0.416 0.416 0.097
Cl 0.500 0.096 0.904
Cl 0.500 0.904 0.096
Cl 0.584 0.584 0.903
Cl 0.584 0.903 0.584
Cl 0.903 0.584 0.584
Cl 0.904 0.096 0.500
Cl 0.904 0.500 0.096

---

Density functional theory data (PBE) for a relaxed structure of Rb2Hg2Cl.

Polymorph energy (0 for the lowest one), meV/atom: 108.3
Space group: P4/mbm (127)
Calculated density, g/cm³: 4.307
E_tot, eV/cell: -16.1

abc: 8.943 8.943 5.858
angles: 90.00 90.00 90.00
Element x y z (fractional)
Rb 0.193 0.307 0.000
Rb 0.307 0.807 0.000
Rb 0.693 0.193 0.000
Rb 0.807 0.693 0.000
Hg 0.122 0.622 0.500
Hg 0.378 0.122 0.500
Hg 0.622 0.878 0.500
Hg 0.878 0.378 0.500
Cl 0.000 0.000 0.000
Cl 0.500 0.500 0.000

---

Density functional theory data (PBE) for a relaxed structure of Rb2Hg2Cl7.

Polymorph energy (0 for the lowest one), meV/atom: 0.0
Space group: C2/m (12)
Calculated density, g/cm³: 2.733
E_tot, eV/cell: -26.0

abc: 9.342 9.342 6.015
angles: 91.55 91.55 108.13
Element x y z (fractional)
Rb 0.184 0.816 0.000
Rb 0.816 0.184 0.000
Hg 0.316 0.316 0.202
Hg 0.684 0.684 0.798
Cl 0.065 0.065 0.320
Cl 0.146 0.455 0.119
Cl 0.455 0.146 0.119
Cl 0.500 0.500 0.500
Cl 0.545 0.854 0.881
Cl 0.854 0.545 0.881
Cl 0.935 0.935 0.680

---

no.,formation energy (no corrections) (eV/atom)
1,-1.12
2,-1.39
3,-0.76
4,-0.30
5,-0.75
6,-1.21
7,-1.13
8,-1.12
9,-0.40
10,-0.59
11,-0.73
12,-0.96